{
  "formula": "Ac2NdCu2S6",
  "functional": "GGA-PBE",
  "state": "relaxed",
  "lattice_angstrom": [[7.081, 0.000, 0.000], [3.541, 6.132, 0.000], [3.541, 2.044, 7.017]],
  "species": ["S", "S", "S", "S", "S", "S", "Ac", "Ac", "Cu", "Cu", "Nd"],
  "fractional_positions": [[0.217, 0.747, 0.289], [0.747, 0.217, 0.289], [0.253, 0.253, 0.711], [0.747, 0.747, 0.289], [0.253, 0.783, 0.711], [0.783, 0.253, 0.711], [0.798, 0.798, 0.605], [0.202, 0.202, 0.395], [0.567, 0.567, 0.299], [0.433, 0.433, 0.701], [0.000, 0.000, 0.000]],
  "sg": "No. 166",
  "e_form_raw_ev_per_fu": -13.5
}

---

{
  "formula": "PmPrSm3",
  "functional": "GGA-PBE",
  "state": "relaxed",
  "lattice_angstrom": [[-2.478, -1.818, 1.978], [6.964, -1.373, 7.463], [-5.258, 15.642, 7.785]],
  "species": ["Pr", "Pr", "Pr", "Pr", "Sm", "Sm", "Sm", "Sm", "Sm", "Sm", "Sm", "Sm", "Sm", "Sm", "Sm", "Sm", "Pm", "Pm", "Pm", "Pm"],
  "fractional_positions": [[0.750, 0.124, 0.850], [0.250, 0.876, 0.150], [0.250, 0.376, 0.350], [0.750, 0.624, 0.650], [0.750, 0.125, 0.250], [0.250, 0.875, 0.750], [0.750, 0.126, 0.050], [0.250, 0.874, 0.950], [0.250, 0.875, 0.350], [0.250, 0.375, 0.750], [0.750, 0.125, 0.650], [0.750, 0.625, 0.250], [0.750, 0.625, 0.850], [0.750, 0.626, 0.450], [0.250, 0.375, 0.150], [0.250, 0.374, 0.550], [0.750, 0.124, 0.450], [0.250, 0.376, 0.950], [0.750, 0.624, 0.050], [0.250, 0.876, 0.550]],
  "sg": "No. 62",
  "energy_ev_per_atom": -4.7258
}